1.
Computed, not measured: a crystal of SrMgTe2F relaxed with PBEsol at the SCAN level of DFT.

**Crystal system**: tetragonal

abc: 6.1953 6.1953 4.3410
angles: 90.00 90.00 90.00
With the nearest neighbours (Å) after each atom.
Space group P4/mmm (No. 123)
One atom of each set of equivalent atoms:
Sr  0.0000  0.0000  0.0000 x1  2 F 2.17
Mg  0.5000  0.5000  0.5000 x1  8 Te 3.78
Te  0.0000  0.5000  0.0000 x2  2 Sr 3.10
F  0.0000  0.0000  0.5000 x1  2 Sr 2.17

***

2.
Computed, not measured: a crystal of MgTaF2 relaxed with PBEsol at the SCAN level of DFT.

**Crystal system**: cubic

abc: 5.9846 5.9846 5.9846
angles: 90.00 90.00 90.00
With the nearest neighbours (Å) after each atom.
Space group Fm-3m (No. 225)
One atom of each set of equivalent atoms:
Mg  0.0000  0.0000  0.0000 x4  8 F 2.59
Ta  0.0000  0.0000  0.5000 x4  8 F 2.59
F  0.2500  0.2500  0.2500 x8  4 Ta 2.59, 4 Mg 2.59

***

3.
Computed, not measured: a crystal of Y2MgTcF relaxed with PBEsol at the SCAN level of DFT.

**Crystal system**: tetragonal

abc: 4.7914 4.7914 4.1851
angles: 90.00 90.00 90.00
With the nearest neighbours (Å) after each atom.
Space group P4/mmm (No. 123)
One atom of each set of equivalent atoms:
Y  0.0000  0.5000  0.0000 x2  2 F 2.40
Mg  0.0000  0.0000  0.5000 x1  8 Y 3.18, 4 Tc 3.39
Tc  0.5000  0.5000  0.5000 x1  2 F 2.09
F  0.5000  0.5000  0.0000 x1  2 Tc 2.09

***

Respective E_tot values: -110.88; -322.20; -102.32 eV/cell.
Respective total moment values: 1.0; 0.0; 0.0 Bohr magnetons per cell.